Record 1
# Pm5PrDy12

A relaxed Pm5PrDy12 crystal (PBE-GGA, the Alexandria database).

```
18
Lattice="11.384 0.000 -0.004 5.692 8.681 -0.002 0.000 0.000 5.977" Properties=species:S:1:pos:R:3 pbc="T T T"
Dy 7.688 0.000 5.674
Dy 3.668 2.893 2.660
Dy 9.359 5.788 2.659
Dy 7.717 2.893 3.313
Dy 7.727 5.788 5.646
Dy 3.696 0.000 0.299
Dy 13.408 5.788 3.311
Dy 2.024 0.000 3.287
Dy 2.035 2.893 5.648
Dy 9.349 2.893 0.325
Dy 15.041 5.788 0.323
Dy 9.361 0.000 2.686
Pm 11.384 5.762 -0.004
Pm 11.384 2.911 2.985
Pm 5.692 2.919 -0.002
Pm 5.692 5.770 2.987
Pm 5.692 0.000 2.987
Pr 0.000 0.000 0.000
```

Output
energy of formation from the pure elements	101	meV per atom
E	-4.55	eV per atom
D(E_F)	29.92	states/eV/cell

Record 2
# PmPr8Dy4

A relaxed PmPr8Dy4 crystal (PBE-GGA, the Alexandria database).

```
13
Lattice="-0.496 4.555 -12.741 10.349 -4.005 7.593 -4.584 -3.942 2.820" Properties=species:S:1:pos:R:3 pbc="T T T"
Pr 1.654 0.473 -3.027
Pr 8.215 -0.694 -2.268
Pr 4.139 -6.200 7.444
Pr 1.725 -2.592 3.035
Pr 6.375 0.738 -5.577
Pr -1.283 -1.428 -2.637
Pr 3.456 -0.982 0.289
Pr 6.789 -2.692 0.587
Pm 2.893 -4.265 5.381
Dy -0.452 -0.241 -5.941
Dy 0.315 -3.140 0.175
Dy 5.225 -2.863 -2.330
Dy 5.786 -4.446 3.705
```

Output
energy of formation from the pure elements	153	meV per atom
E	-4.57	eV per atom
D(E_F)	17.15	states/eV/cell

Record 3
# Pm8Pr6Dy

A relaxed Pm8Pr6Dy crystal (PBE-GGA, the Alexandria database).

```
15
Lattice="-1.847 -5.577 -7.231 6.981 -3.555 -5.043 1.938 -8.655 0.178" Properties=species:S:1:pos:R:3 pbc="T T T"
Pm 6.793 -9.760 -6.423
Pm 5.850 -6.933 -4.531
Pm 4.424 -10.368 -8.969
Pm 2.648 -7.419 -3.127
Pm 0.280 -8.027 -5.673
Pm 1.222 -10.854 -7.565
Pm 3.589 -10.194 -5.058
Pm 3.483 -7.593 -7.038
Pr -0.065 -4.443 -4.372
Pr 5.357 -15.308 -10.212
Pr 1.715 -2.478 -1.884
Pr 7.137 -13.343 -7.724
Pr 3.569 -4.325 -4.409
Pr 3.503 -13.462 -7.687
Dy 0.000 0.000 0.000
```

Output
energy of formation from the pure elements	109	meV per atom
distance to the lowest polymorph of the same formula	0.0	meV/atom
E	-4.64	eV per atom
D(E_F)	22.12	states/eV/cell

Record 4
# Pm6PrDy6

A relaxed Pm6PrDy6 crystal (PBE-GGA, the Alexandria database).

```
13
Lattice="6.632 0.270 0.000 -3.081 5.879 0.000 0.000 0.000 11.247" Properties=species:S:1:pos:R:3 pbc="T T T"
Dy -1.541 2.939 2.543
Dy 3.316 0.135 2.543
Dy -1.541 2.939 8.703
Dy 3.316 0.135 8.703
Dy 1.775 3.074 7.867
Dy 1.775 3.074 3.380
Pm -0.487 4.380 5.623
Pm 0.000 0.000 3.754
Pm 0.000 0.000 7.493
Pm 0.393 3.873 0.000
Pm 4.037 1.768 5.623
Pm 3.158 2.276 0.000
Pr 0.000 0.000 0.000
```

Output
energy of formation from the pure elements	213	meV per atom
E	-4.47	eV per atom
D(E_F)	22.12	states/eV/cell

Record 5
# PmPr8Dy6

A relaxed PmPr8Dy6 crystal (PBE-GGA, the Alexandria database).

```
15
Lattice="-1.167 6.587 -6.591 -0.873 -2.481 -9.015 -7.416 0.944 -4.433" Properties=species:S:1:pos:R:3 pbc="T T T"
Dy -8.540 4.922 -16.636
Dy -0.916 0.128 -3.404
Dy -1.352 0.419 -7.067
Dy -8.104 4.630 -12.973
Dy -1.304 3.462 -4.961
Dy -8.153 1.588 -15.079
Pr -4.545 5.337 -7.988
Pr -6.217 2.431 -9.850
Pr -5.211 5.683 -11.388
Pr -4.911 -0.288 -12.053
Pr -4.245 -0.633 -8.652
Pr -3.239 2.619 -10.190
Pr -5.016 2.894 -13.463
Pr -4.440 2.156 -6.577
Pm 0.000 0.000 0.000
```

Output
energy of formation from the pure elements	154	meV per atom
distance to the lowest polymorph of the same formula	0.0	meV/atom
E	-4.55	eV per atom
D(E_F)	21.90	states/eV/cell

Record 6
# PmPr4Dy6

A relaxed PmPr4Dy6 crystal (PBE-GGA, the Alexandria database).

```
11
Lattice="-4.324 -1.693 -6.250 -4.871 -4.102 4.480 1.004 8.285 1.911" Properties=species:S:1:pos:R:3 pbc="T T T"
Pr -3.224 3.786 4.352
Pr -8.127 -3.958 -1.303
Pr -2.869 5.349 -2.612
Pr -2.161 -0.197 -0.154
Dy -2.162 -0.847 -3.125
Dy -4.532 1.971 0.211
Dy -5.789 -0.315 -3.150
Dy -6.059 -1.502 2.138
Dy -0.001 4.826 1.083
Dy -2.435 -2.051 2.240
Pm -4.597 -2.898 -0.885
```

Output
energy of formation from the pure elements	443	meV per atom
distance to the lowest polymorph of the same formula	143.6	meV/atom
E	-4.24	eV per atom
D(E_F)	15.32	states/eV/cell

Copy entry 5 word for word.
# PmPr8Dy6

A relaxed PmPr8Dy6 crystal (PBE-GGA, the Alexandria database).

```
15
Lattice="-1.167 6.587 -6.591 -0.873 -2.481 -9.015 -7.416 0.944 -4.433" Properties=species:S:1:pos:R:3 pbc="T T T"
Dy -8.540 4.922 -16.636
Dy -0.916 0.128 -3.404
Dy -1.352 0.419 -7.067
Dy -8.104 4.630 -12.973
Dy -1.304 3.462 -4.961
Dy -8.153 1.588 -15.079
Pr -4.545 5.337 -7.988
Pr -6.217 2.431 -9.850
Pr -5.211 5.683 -11.388
Pr -4.911 -0.288 -12.053
Pr -4.245 -0.633 -8.652
Pr -3.239 2.619 -10.190
Pr -5.016 2.894 -13.463
Pr -4.440 2.156 -6.577
Pm 0.000 0.000 0.000
```

Output
energy of formation from the pure elements	154	meV per atom
distance to the lowest polymorph of the same formula	0.0	meV/atom
E	-4.55	eV per atom
D(E_F)	21.90	states/eV/cell

> Number 4 is which compound?

Pm6PrDy6

Repeat the third record exactly.
# Pm8Pr6Dy

A relaxed Pm8Pr6Dy crystal (PBE-GGA, the Alexandria database).

```
15
Lattice="-1.847 -5.577 -7.231 6.981 -3.555 -5.043 1.938 -8.655 0.178" Properties=species:S:1:pos:R:3 pbc="T T T"
Pm 6.793 -9.760 -6.423
Pm 5.850 -6.933 -4.531
Pm 4.424 -10.368 -8.969
Pm 2.648 -7.419 -3.127
Pm 0.280 -8.027 -5.673
Pm 1.222 -10.854 -7.565
Pm 3.589 -10.194 -5.058
Pm 3.483 -7.593 -7.038
Pr -0.065 -4.443 -4.372
Pr 5.357 -15.308 -10.212
Pr 1.715 -2.478 -1.884
Pr 7.137 -13.343 -7.724
Pr 3.569 -4.325 -4.409
Pr 3.503 -13.462 -7.687
Dy 0.000 0.000 0.000
```

Output
energy of formation from the pure elements	109	meV per atom
distance to the lowest polymorph of the same formula	0.0	meV/atom
E	-4.64	eV per atom
D(E_F)	22.12	states/eV/cell